Pm2CdSeO3 | Alexandria via LeMat-Bulk | GGA-PBE | optimized geometry; theoretical density = 6.32 Mg/m³; size of the total moment = 0.0 μB per cell; V = 278.2 Å³/cell; ΔE_f (raw) = -2.2396 eV per atom; space group = R-3m
1.0
3.6126 2.0857 6.1540
-3.6126 2.0857 6.1540
0.0000 -4.1714 6.1540
Pm Cd Se O
4 2 2 6
direct
0.0000 0.0000 0.0000
0.0000 0.0000 0.5000
0.0000 0.5000 0.0000
0.5000 0.0000 0.0000
0.4114 0.4114 0.4114
0.5886 0.5886 0.5886
0.2731 0.2731 0.2731
0.7269 0.7269 0.7269
0.1900 0.7620 0.7620
0.2380 0.2380 0.8100
0.2380 0.8100 0.2380
0.7620 0.1900 0.7620
0.7620 0.7620 0.1900
0.8100 0.2380 0.2380